Record 1
## ZrVRe2O (PBE+U)

Data for an optimized crystal structure of ZrVRe2O.

a = 4.840 Å, b = 3.602 Å, c = 4.840 Å
α = 90.00°, β = 90.00°, γ = 90.00°
Last column: magnetic moment on the atom in μB.
Element x y z (fractional)
V 0.000 0.000 0.000  -0.61
Zr 0.500 0.500 0.500  -0.06
Re 0.500 0.000 0.000  0.68
Re 0.000 0.000 0.500  0.66
O 0.000 0.500 0.000  0.23

---

Record 2
## ReWO3 (PBE+U)

Data for an optimized crystal structure of ReWO3.

a = 3.931 Å, b = 3.931 Å, c = 3.931 Å
α = 90.00°, β = 90.00°, γ = 90.00°
Last column: magnetic moment on the atom in μB.
Element x y z (fractional)
O 0.000 0.000 0.500  0.02
O 0.000 0.500 0.000  -0.03
Re 0.000 0.000 0.000  0.01
O 0.500 0.000 0.000  0.00
W 0.500 0.500 0.500  3.75

---

Record 3
## Re2WO (PBE+U)

Data for an optimized crystal structure of Re2WO.

a = 6.505 Å, b = 6.505 Å, c = 5.303 Å
α = 52.17°, β = 52.17°, γ = 90.00°
Element x y z (fractional)
O 0.500 0.500 0.000
Re 0.375 0.460 0.750
Re 0.210 0.625 0.250
Re 0.875 0.790 0.750
W 0.000 0.000 0.000
Re 0.540 0.125 0.250
W 0.750 0.250 0.500
O 0.250 0.750 0.500

---

Record 4
## ReWO3 (PBE+U)

Data for an optimized crystal structure of ReWO3.

a = 3.981 Å, b = 3.981 Å, c = 3.981 Å
α = 90.00°, β = 90.00°, γ = 90.00°
Last column: magnetic moment on the atom in μB.
Element x y z (fractional)
Re 0.500 0.500 0.500  3.91
O 0.000 0.000 0.500  0.09
O 0.500 0.000 0.000  0.05
O 0.000 0.500 0.000  0.12
W 0.000 0.000 0.000  0.16

---

Record 5
## ReWO6 (PBE+U)

Data for an optimized crystal structure of ReWO6.

a = 5.416 Å, b = 5.416 Å, c = 5.416 Å
α = 60.00°, β = 60.00°, γ = 60.00°
Element x y z (fractional)
O 0.253 0.253 0.747
W 0.000 0.000 0.000
O 0.747 0.747 0.253
O 0.747 0.253 0.747
O 0.253 0.747 0.253
O 0.747 0.253 0.253
Re 0.500 0.500 0.500
O 0.253 0.747 0.747

---

Record 6
## ReW2O (PBE+U)

Data for an optimized crystal structure of ReW2O.

a = 6.220 Å, b = 6.220 Å, c = 5.403 Å
α = 54.86°, β = 54.86°, γ = 90.00°
Last column: magnetic moment on the atom in μB.
Element x y z (fractional)
Re 0.000 0.000 0.000  -0.39
W 0.198 0.625 0.250  0.67
W 0.875 0.802 0.750  0.63
O 0.500 0.500 0.000  0.02
O 0.250 0.750 0.500  0.02
Re 0.750 0.250 0.500  -0.38
W 0.375 0.448 0.750  0.68
W 0.552 0.125 0.250  0.68

---

Record 7
## Zr2ReWO (PBE+U)

Data for an optimized crystal structure of Zr2ReWO.

a = 5.336 Å, b = 3.723 Å, c = 5.336 Å
α = 90.00°, β = 90.00°, γ = 90.00°
Last column: magnetic moment on the atom in μB.
Element x y z (fractional)
Zr 0.500 0.000 0.000  -0.18
O 0.000 0.500 0.000  0.01
Zr 0.000 0.000 0.500  -0.17
W 0.500 0.500 0.500  2.90
Re 0.000 0.000 0.000  0.14

---

Record 8
## ZrRe2WO (PBE+U)

Data for an optimized crystal structure of ZrRe2WO.

a = 4.732 Å, b = 5.289 Å, c = 4.732 Å
α = 90.00°, β = 90.00°, γ = 90.00°
Last column: magnetic moment on the atom in μB.
Element x y z (fractional)
Zr 0.000 0.500 0.000  -0.14
O 0.500 0.500 0.500  0.88
Re 0.500 0.000 0.000  1.09
Re 0.000 0.000 0.500  0.89
W 0.000 0.000 0.000  -0.34

---

no.,energy (eV/atom),total magnetization (μB/atom)
1,-8.391,0.21
2,-7.207,0.88
3,-8.759,0.00
4,-6.989,1.01
5,-7.950,0.00
6,-7.438,0.26
7,-7.827,0.65
8,-6.714,0.54